## Na3PaFe2O6 (PBE+U)

Data for a relaxed structure of Na3PaFe2O6.

## Properties
- spin magnetization (Bohr magnetons per cell) = 16.00
- uncorrected energy (eV/atom) = -6.681
- N(E_F) (states/eV per atom) = 0.0000

Cell and atoms, written as CIF:
```
data_Na3PaFe2O6
_space_group_name_H-M_alt 'C 1 2/m 1'
_space_group_IT_number 12
_space_group_name_Hall '-C 2y'
_cell_length_a 5.662
_cell_length_b 9.632
_cell_length_c 5.881
_cell_angle_alpha 90.00
_cell_angle_beta 108.67
_cell_angle_gamma 90.00
loop_
_atom_site_label
_atom_site_type_symbol
_atom_site_fract_x
_atom_site_fract_y
_atom_site_fract_z
_atom_site_occupancy
Na1 Na 0.000 0.000 0.000 1
Na2 Na 0.000 0.323 0.000 1
Pa1 Pa 0.000 0.500 0.500 1
Fe1 Fe 0.000 0.164 0.500 1
O1 O 0.231 0.333 0.713 1
O2 O 0.241 0.000 0.715 1
```